1.
Density functional theory data (PBE-GGA) for an optimized crystal structure of Tb3Ho2Sc.

Lattice parameters (Å, degrees): 8.9017 8.9017 13.9792 116.71 116.71 22.19
With the nearest neighbours (Å) after each atom.
Element x y z (fractional)
Tb  0.0368  0.0368  0.2193  3 Ho 3.39-3.58, 8 Tb 3.43-3.76, 2 Sc 3.59
Tb  0.2567  0.2567  0.7058  4 Ho 3.28-3.43, 3 Tb 3.42-3.43, 2 Sc 3.53
Tb  0.4005  0.4005  0.9736  4 Tb 3.21-3.43, 3 Ho 3.42-3.45
Tb  0.5995  0.5995  0.0264  4 Tb 3.21-3.43, 3 Ho 3.42-3.45
Tb  0.7433  0.7433  0.2942  4 Ho 3.28-3.43, 3 Tb 3.42-3.43, 2 Sc 3.53
Tb  0.9632  0.9632  0.7807  3 Ho 3.39-3.58, 8 Tb 3.43-3.76, 2 Sc 3.59
Ho  0.1801  0.1801  0.8802  5 Tb 3.28-3.45, 4 Ho 3.43-3.55, 2 Sc 3.47
Ho  0.3443  0.3443  0.5304  2 Sc 3.40-3.46, 5 Tb 3.41-3.58, 4 Ho 3.43-3.46
Ho  0.6557  0.6557  0.4696  2 Sc 3.40-3.46, 5 Tb 3.41-3.58, 4 Ho 3.43-3.46
Ho  0.8199  0.8199  0.1198  5 Tb 3.28-3.45, 4 Ho 3.43-3.55, 2 Sc 3.47
Sc  0.4372  0.4372  0.3587  4 Ho 3.40-3.47, 3 Sc 3.43-3.53, 4 Tb 3.53-3.59
Sc  0.5628  0.5628  0.6413  4 Ho 3.40-3.47, 3 Sc 3.43-3.53, 4 Tb 3.53-3.59

Computed properties:
- Crystal system: monoclinic
- Formation enthalpy at 0 K: 0.145 eV per atom
- Calculated density: 7.6 g/cm3
- D(E_F): 20.913 states/eV/cell
- VASP energy: -4.751 eV/atom
- Space group: C2/m, No. 12

***

2.
Density functional theory data (PBE-GGA) for an optimized crystal structure of POs2Se.

Lattice parameters (Å, degrees): 2.8473 5.0573 8.5783 90.00 90.00 90.00
With the nearest neighbours (Å) after each atom.
Element x y z (fractional)
P  0.0000  0.0000  0.0000  4 Os 2.30
P  0.5000  0.5000  0.0000  4 Os 2.30
Os  0.0000  0.5000  0.2109  2 P 2.30
Os  0.0000  0.5000  0.7891  2 P 2.30
Os  0.5000  0.0000  0.2109  2 P 2.30
Os  0.5000  0.0000  0.7891  2 P 2.30
Se  0.0000  0.0000  0.5000  6 Se 2.85-2.90, 4 Os 2.86
Se  0.5000  0.5000  0.5000  6 Se 2.85-2.90, 4 Os 2.86

Computed properties:
- Crystal system: orthorhombic
- Calculated density: 13.2 g/cm3
- D(E_F): 7.365 states/eV/cell
- VASP energy: -7.202 eV/atom
- Space group: Cmmm, No. 65

***

3.
Density functional theory data (PBE-GGA) for an optimized crystal structure of HoBSe.

Lattice parameters (Å, degrees): 3.8973 16.5106 3.5417 90.00 90.00 90.00
With the nearest neighbours (Å) after each atom.
Element x y z (fractional)
Ho  0.0000  0.0876  0.2500  6 B 2.65-2.85, 4 Se 2.84
Ho  0.0000  0.9124  0.7500  6 B 2.65-2.85, 4 Se 2.84
Ho  0.5000  0.4124  0.7500  6 B 2.65-2.85, 4 Se 2.84
Ho  0.5000  0.5876  0.2500  6 B 2.65-2.85, 4 Se 2.84
B  0.0000  0.4790  0.2500  2 B 1.90
B  0.0000  0.5210  0.7500  2 B 1.90
B  0.5000  0.0210  0.7500  2 B 1.90
B  0.5000  0.9790  0.2500  2 B 1.90
Se  0.0000  0.3475  0.2500  1 B 2.17
Se  0.0000  0.6525  0.7500  1 B 2.17
Se  0.5000  0.1525  0.7500  1 B 2.17
Se  0.5000  0.8475  0.2500  1 B 2.17

Computed properties:
- Crystal system: orthorhombic
- Calculated density: 7.4 g/cm3
- D(E_F): 2.717 states/eV/cell
- VASP energy: -5.895 eV/atom
- Space group: Cmcm, No. 63

***

4.
Density functional theory data (PBE-GGA) for an optimized crystal structure of ZrScU2N4.

Lattice parameters (Å, degrees): 5.7377 3.3063 5.8686 90.00 108.95 90.00
With the nearest neighbours (Å) after each atom.
Element x y z (fractional)
Zr  0.0000  0.0000  0.0000  6 N 2.33
Sc  0.5000  0.5000  0.0000  6 N 2.30-2.31
U  0.0000  0.5000  0.5000  6 N 2.41-2.42
U  0.5000  0.0000  0.5000  6 N 2.39-2.40
N  0.2485  0.5000  0.2366  1 Sc 2.30, 2 Zr 2.33, 3 U 2.40-2.42
N  0.2567  0.0000  0.7632  2 Sc 2.31, 1 Zr 2.33, 3 U 2.39-2.41
N  0.7433  0.0000  0.2368  2 Sc 2.31, 1 Zr 2.33, 3 U 2.39-2.41
N  0.7515  0.5000  0.7634  1 Sc 2.30, 2 Zr 2.33, 3 U 2.40-2.42

Computed properties:
- Crystal system: monoclinic
- Calculated density: 10.5 g/cm3
- D(E_F): 8.710 states/eV/cell
- VASP energy: -10.407 eV/atom
- Space group: P2/m, No. 10